# AcPbW2O8, relaxed, DFT PBE+U
data_AcPbW2O8
_cell_length_a 5.5096
_cell_length_b 5.5096
_cell_length_c 9.6591
_cell_angle_alpha 90.00
_cell_angle_beta 90.00
_cell_angle_gamma 120.00
_space_group_name_H-M_alt 'P -3'
_space_group_IT_number 147
loop_
_space_group_symop_operation_xyz
'x,y,z'
'-x,-y,-z'
'-y,x-y,z'
'y,-x+y,-z'
'-x+y,-x,z'
'x-y,x,-z'
loop_
_atom_site_label
_atom_site_fract_x
_atom_site_fract_y
_atom_site_fract_z
Ac1 0.0000 0.0000 0.0000
Pb1 0.0000 0.0000 0.5000
W1 0.3333 0.6667 0.2396
O1 0.0310 0.3579 0.1686
O2 0.3333 0.6667 0.4280
# Fermi-level density of states = 0.01 states/eV per atom
# Total energy = -85.70 eV/cell
# Magnetic moment = 1.0 μB/f.u.